Material: K2NbCoO5
Method: DFT, PBE with a Hubbard U
State: optimized geometry

Lattice parameters (Å, degrees): 7.780 7.780 12.125 90.00 90.00 155.78
Atoms (fractional coordinates):
K  0.049  0.951  0.500
K  0.129  0.871  0.206
K  0.871  0.129  0.706
K  0.951  0.049  0.000
Nb  0.214  0.786  0.912
Nb  0.786  0.214  0.412
Co  0.413  0.587  0.263
Co  0.587  0.413  0.763
O  0.082  0.918  0.842
O  0.292  0.708  0.295
O  0.307  0.693  0.509
O  0.333  0.667  0.897
O  0.495  0.505  0.166
O  0.505  0.495  0.666
O  0.667  0.333  0.397
O  0.693  0.307  0.009
O  0.708  0.292  0.795
O  0.918  0.082  0.342

Computed properties:
- Energy: -6.4561 eV per atom
- V: 301.1 Å³/cell
- Symmetry: Cmc2_1 (36)